1.
Cu3Ag2 | PBE-GGA | relaxed

Calculated values
- ΔE_f (eV per atom) = 0.09

Unit cell a=9.0809 b=9.0809 c=5.7828 alpha=99.40 beta=99.40 gamma=17.76
With the nearest neighbours (Å) after each atom.
Positions (direct):
Ag 0.1997 0.1997 0.1080  6 Cu 2.72-2.97, 6 Ag 2.80-2.83
Ag 0.4087 0.4087 0.2140  7 Cu 2.69-2.79, 4 Ag 2.80-2.85
Ag 0.5878 0.5878 0.3011  7 Cu 2.65-2.82, 4 Ag 2.80-2.83
Ag 0.8025 0.8025 0.8805  5 Cu 2.67-2.71, 6 Ag 2.80-2.85
Cu 0.8017 0.8017 0.4165  6 Cu 2.61-2.80, 5 Ag 2.68-2.79
Cu 0.0010 0.0010 0.5392  5 Cu 2.47-2.53, 4 Ag 2.65-2.69
Cu 0.1959 0.1959 0.5933  6 Cu 2.63-2.80, 5 Ag 2.71-2.82
Cu 0.4034 0.4034 0.6889  8 Cu 2.51-2.80, 3 Ag 2.67-2.76
Cu 0.5999 0.5999 0.7935  8 Cu 2.53-2.80, 3 Ag 2.72-2.82
Cu 0.9993 0.9993 0.9651  5 Cu 2.47-2.61, 4 Ag 2.69-2.73


2.
CuAg | PBE-GGA | relaxed

Calculated values
- ΔE_f (eV per atom) = 0.10

Unit cell a=4.7771 b=4.8169 c=7.2616 alpha=107.61 beta=102.70 gamma=100.90
With the nearest neighbours (Å) after each atom.
Positions (direct):
Ag 0.2890 0.5958 0.0953  7 Cu 2.71-2.86, 5 Ag 2.74-2.84
Ag 0.5953 0.1963 0.1934  7 Cu 2.71-2.83, 5 Ag 2.78-2.87
Ag 0.9104 0.8096 0.3008  6 Cu 2.71-2.85, 6 Ag 2.74-2.84
Ag 0.7913 0.5963 0.6078  8 Cu 2.65-2.85, 4 Ag 2.80-2.87
Ag 0.1133 0.2029 0.7019  8 Cu 2.67-2.80, 4 Ag 2.74-2.83
Cu 0.2086 0.4082 0.4047  8 Ag 2.68-2.85, 4 Cu 2.70-2.86
Cu 0.4988 0.9967 0.5091  4 Cu 2.61-2.81, 8 Ag 2.71-2.86
Cu 0.4102 0.8088 0.7981  6 Cu 2.61-2.85, 6 Ag 2.69-2.81
Cu 0.6975 0.3897 0.8948  7 Ag 2.65-2.85, 5 Cu 2.67-2.82
Cu 0.9855 0.9957 0.9942  5 Cu 2.64-2.86, 7 Ag 2.71-2.79


E_tot
In order: -3.27, -3.17
Unit: eV/atom